[1]
Compound: TaV2In2S6
Source: the Alexandria database
Functional: PBE-GGA
Structure: relaxed

Properties
M_tot, μB per atom: 0.085
Space-group type: No. 12
Formation energy (no corrections), eV per atom: -0.747

a b c (Å): 5.8197 5.8197 8.0242
angles (deg): 95.23 95.23 120.46
Sites, in units of the cell vectors:
In1 0.1685 0.8315 0.0000
In2 0.8315 0.1685 0.0000
S1 0.2838 0.2838 0.3003
S2 0.3924 0.0426 0.6764
S3 0.7162 0.7162 0.6997
V1 0.3613 0.6387 0.5000
V2 0.6387 0.3613 0.5000
S4 0.0426 0.3924 0.6764
Ta1 0.0000 0.0000 0.5000
S5 0.6076 0.9574 0.3236
S6 0.9574 0.6076 0.3236

[2]
Compound: TlGaAg2O4
Source: the Alexandria database
Functional: PBE-GGA
Structure: relaxed

Properties
M_tot, μB per atom: 0.000
Space-group type: No. 82
Formation energy (no corrections), eV per atom: -0.739

a b c (Å): 5.2677 5.2699 5.9502
angles (deg): 116.28 116.27 90.00
Sites, in units of the cell vectors:
Ag1 0.4861 0.9862 0.9722
Ga1 0.7359 0.7359 0.4717
O1 0.8463 0.4283 0.2469
O2 0.6531 0.6256 0.6967
Ag2 0.2359 0.2359 0.4717
Tl1 0.9858 0.4858 0.9716
O3 0.4005 0.8184 0.2468
O4 0.0435 0.0710 0.6966

[3]
Compound: ZnAg3Hg
Source: the Alexandria database
Functional: PBE-GGA
Structure: relaxed

Properties
M_tot, μB per atom: 0.000
Calculated formation energy, eV/f.u.: 3.71
Space-group type: No. 221

a b c (Å): 5.2716 5.2716 5.2716
angles (deg): 90.00 90.00 90.00
Sites, in units of the cell vectors:
Hg1 0.0000 0.0000 0.0000
Ag1 0.0000 0.5000 0.0000
Ag2 0.0000 0.0000 0.5000
Zn1 0.5000 0.5000 0.5000
Ag3 0.5000 0.0000 0.0000

[4]
Compound: Hf2BeSi
Source: the Alexandria database
Functional: PBE-GGA
Structure: relaxed

Properties
M_tot, μB per atom: 0.000
Space-group type: No. 122
Formation energy (no corrections), eV per atom: 0.080

a b c (Å): 7.0257 7.0257 5.7306
angles (deg): 52.19 52.19 90.00
Sites, in units of the cell vectors:
Si1 0.0000 0.0000 0.0000
Be1 0.5000 0.5000 0.0000
Hf1 0.1354 0.6250 0.2500
Hf2 0.8750 0.8646 0.7500
Hf3 0.6146 0.1250 0.2500
Hf4 0.3750 0.3854 0.7500
Be2 0.2500 0.7500 0.5000
Si2 0.7500 0.2500 0.5000